[1]
Material: Sm12Dy5Er
Method: DFT, PBE
State: relaxed

a b c (Å): 15.2409 10.7769 5.0904
angles (deg): 90.00 90.00 45.09
With the nearest neighbours (Å) after each atom.
Element x y z (fractional)
Er1 0.0000 0.0000 0.0000  8 Sm 3.58, 4 Dy 3.60
Dy1 0.8335 0.3330 0.5000  8 Sm 3.58-3.59, 2 Er 3.60, 2 Dy 3.60
Dy2 0.3334 0.3332 0.0000  8 Sm 3.58-3.59, 4 Dy 3.60
Dy3 0.5000 0.0000 0.5000  8 Sm 3.58-3.59, 4 Dy 3.60
Dy4 0.1665 0.6670 0.5000  8 Sm 3.58-3.59, 2 Er 3.60, 2 Dy 3.60
Dy5 0.6666 0.6668 0.0000  8 Sm 3.58-3.59, 4 Dy 3.60
Sm1 0.8347 0.0001 0.4999  2 Dy 3.58, 2 Er 3.58, 8 Sm 3.60-3.62
Sm2 0.1675 0.3334 0.5000  4 Dy 3.58-3.59, 8 Sm 3.60-3.62
Sm3 0.9989 0.3331 0.0000  1 Er 3.58, 3 Dy 3.58-3.59, 8 Sm 3.60-3.62
Sm4 0.4991 0.3333 0.5000  4 Dy 3.58-3.59, 8 Sm 3.60-3.62
Sm5 0.6659 0.0000 0.9999  4 Dy 3.58-3.59, 8 Sm 3.60-3.62
Sm6 0.1653 0.0000 0.5001  2 Dy 3.58, 2 Er 3.58, 8 Sm 3.60-3.62
Sm7 0.6679 0.3332 0.0000  3 Dy 3.58, 1 Er 3.58, 8 Sm 3.60-3.63
Sm8 0.3341 0.0001 0.0001  4 Dy 3.58-3.59, 8 Sm 3.60-3.62
Sm9 0.3321 0.6668 0.0000  3 Dy 3.58, 1 Er 3.58, 8 Sm 3.60-3.63
Sm10 0.8325 0.6666 0.5000  4 Dy 3.58-3.59, 8 Sm 3.60-3.62
Sm11 0.5009 0.6667 0.5000  4 Dy 3.58-3.59, 8 Sm 3.60-3.62
Sm12 0.0011 0.6669 0.0000  1 Er 3.58, 3 Dy 3.58-3.59, 8 Sm 3.60-3.62

Computed properties:
Total moment   0.000 μB per atom
Space group   P2/m, No. 10
DOS at the Fermi energy   1.426 states/eV/atom
Energy relative to the elements   0.3 eV per formula unit



[2]
Material: ZrIn2Pt
Method: DFT, PBE
State: relaxed

a b c (Å): 5.3395 5.3395 5.3395
angles (deg): 132.50 132.53 69.42
With the nearest neighbours (Å) after each atom.
Element x y z (fractional)
In1 0.0000 0.0000 0.0000  4 Pt 3.04, 4 In 3.07, 4 Zr 3.07
In2 0.7499 0.2499 0.5000  4 Zr 3.04, 4 In 3.07, 4 Pt 3.07
Pt1 0.5000 0.5000 0.0000  8 In 3.04-3.07, 4 Zr 3.07
Zr1 0.2500 0.7500 0.5000  8 In 3.04-3.07, 4 Pt 3.07

Computed properties:
Total moment   0.000 μB per atom
Space group   I-4m2, No. 119
DOS at the Fermi energy   0.489 states/eV/atom
Energy relative to the elements   -1.6 eV per formula unit



[3]
Material: RbScAg2
Method: DFT, PBE
State: relaxed

a b c (Å): 8.2808 8.2808 6.8958
angles (deg): 53.10 53.10 90.00
With the nearest neighbours (Å) after each atom.
Element x y z (fractional)
Rb1 0.7500 0.2500 0.5000  8 Ag 3.39-3.79, 2 Sc 3.64
Rb2 0.0000 0.0000 0.0000  8 Ag 3.39-3.79, 2 Sc 3.64
Sc1 0.2500 0.7500 0.5000  4 Ag 2.78
Sc2 0.5000 0.5000 0.0000  4 Ag 2.78
Ag1 0.8750 0.8193 0.7500  2 Sc 2.78
Ag2 0.1807 0.6250 0.2500  2 Sc 2.78
Ag3 0.5693 0.1250 0.2500  2 Sc 2.78
Ag4 0.3750 0.4307 0.7500  2 Sc 2.78

Computed properties:
Total moment   0.000 μB per atom
ΔE to the lowest computed polymorph   42 meV/atom
Space group   I-42d, No. 122
DOS at the Fermi energy   0.732 states/eV/atom
Energy relative to the elements   1.7 eV per formula unit



[4]
Material: K3Tl4Pb
Method: DFT, PBE
State: relaxed

a b c (Å): 6.2769 8.1397 9.7842
angles (deg): 136.45 108.71 90.00
With the nearest neighbours (Å) after each atom.
Element x y z (fractional)
Tl1 0.3186 0.4426 0.6007  1 Tl 3.13, 1 Pb 3.36
Tl2 0.4275 0.9729 0.8021  1 Pb 3.12, 2 Tl 3.13-3.34, 1 K 3.49
Tl3 0.6255 0.0271 0.1979  1 Pb 3.12, 2 Tl 3.13-3.34, 1 K 3.49
Tl4 0.7179 0.5574 0.3993  1 Tl 3.13, 1 Pb 3.36
K1 0.0268 0.0000 0.0000  6 Tl 3.55-3.64
K2 0.1719 0.7961 0.3206  2 Tl 3.49-3.68, 2 Pb 3.68, 3 K 3.83-3.88
K3 0.8513 0.2039 0.6794  2 Tl 3.49-3.68, 2 Pb 3.68, 3 K 3.83-3.88
Pb1 0.5115 0.5000 0.0000  4 Tl 3.12-3.36

Computed properties:
Total moment   0.000 μB per atom
Space group   C2, No. 5
DOS at the Fermi energy   0.431 states/eV/atom
Energy relative to the elements   -0.6 eV per formula unit



[5]
Material: ZrNbB3
Method: DFT, PBE
State: relaxed

a b c (Å): 4.1831 4.1831 4.1831
angles (deg): 90.00 90.00 90.00
With the nearest neighbours (Å) after each atom.
Element x y z (fractional)
Nb1 0.5000 0.5000 0.5000  12 B 2.96
B1 0.5000 0.0000 0.0000  2 Zr 2.09
B2 0.0000 0.0000 0.5000  2 Zr 2.09
B3 0.0000 0.5000 0.0000  2 Zr 2.09
Zr1 0.0000 0.0000 0.0000  6 B 2.09

Computed properties:
Total moment   0.207 μB per atom
ΔE to the lowest computed polymorph   2412 meV/atom
Space group   Pm-3m, No. 221
DOS at the Fermi energy   0.868 states/eV/atom
Energy relative to the elements   7.6 eV per formula unit



[6]
Material: BeBiPt3
Method: DFT, PBE
State: relaxed

a b c (Å): 6.4030 7.1819 7.6470
angles (deg): 90.00 90.00 90.00
With the nearest neighbours (Å) after each atom.
Element x y z (fractional)
Be1 0.1052 0.2500 0.9629  6 Pt 2.32-2.40
Be2 0.6052 0.2500 0.5371  6 Pt 2.32-2.40
Be3 0.3948 0.7500 0.4629  6 Pt 2.32-2.40
Be4 0.8948 0.7500 0.0371  6 Pt 2.32-2.40
Bi1 0.0000 0.0000 0.5000  6 Pt 2.77-2.99
Bi2 0.5000 0.0000 0.0000  6 Pt 2.77-2.99
Bi3 0.5000 0.5000 0.0000  6 Pt 2.77-2.99
Bi4 0.0000 0.5000 0.5000  6 Pt 2.77-2.99
Pt1 0.9078 0.0613 0.1511  2 Be 2.35-2.40
Pt2 0.4078 0.0613 0.3489  2 Be 2.35-2.40
Pt3 0.9078 0.4387 0.1511  2 Be 2.35-2.40
Pt4 0.2944 0.2500 0.6930  2 Be 2.32-2.39
Pt5 0.7944 0.2500 0.8070  2 Be 2.32-2.39
Pt6 0.4078 0.4387 0.3489  2 Be 2.35-2.40
Pt7 0.7056 0.7500 0.3070  2 Be 2.32-2.39
Pt8 0.0922 0.5613 0.8489  2 Be 2.35-2.40
Pt9 0.0922 0.9387 0.8489  2 Be 2.35-2.40
Pt10 0.2056 0.7500 0.1930  2 Be 2.32-2.39
Pt11 0.5922 0.9387 0.6511  2 Be 2.35-2.40
Pt12 0.5922 0.5613 0.6511  2 Be 2.35-2.40

Computed properties:
Total moment   0.000 μB per atom
ΔE to the lowest computed polymorph   271 meV/atom
Space group   Pnma, No. 62
DOS at the Fermi energy   0.522 states/eV/atom
Energy relative to the elements   -0.8 eV per formula unit



[7]
Material: PrPuReN4
Method: DFT, PBE
State: relaxed

a b c (Å): 5.4894 5.4753 6.8816
angles (deg): 90.00 113.51 90.00
With the nearest neighbours (Å) after each atom.
Element x y z (fractional)
Pu1 0.0997 0.2500 0.1993  1 N 2.16
Pu2 0.9003 0.7500 0.8007  1 N 2.16
Re1 0.2569 0.7500 0.5138  5 N 1.94-2.01
Re2 0.7431 0.2500 0.4862  5 N 1.94-2.01
N1 0.4165 0.7500 0.8329  1 Re 2.01
N2 0.0000 0.5000 0.5000  2 Re 1.94
N3 0.5835 0.2500 0.1671  1 Re 2.01
N4 0.9282 0.2500 0.8563  1 Pu 2.16, 1 Re 2.34
N5 0.0000 0.0000 0.5000  2 Re 1.94
N6 0.5000 0.0000 0.5000  2 Re 1.94
N7 0.0718 0.7500 0.1437  1 Pu 2.16, 1 Re 2.34
N8 0.5000 0.5000 0.5000  2 Re 1.94
Pr1 0.6039 0.7500 0.2078  1 N 2.37
Pr2 0.3961 0.2500 0.7922  1 N 2.37

Computed properties:
Total moment   0.641 μB per atom
Space group   Cmcm, No. 63
DOS at the Fermi energy   1.455 states/eV/atom
Uncorrected formation energy   -0.792 eV per atom



[8]
Material: Ca2Tm2In3
Method: DFT, PBE
State: relaxed

a b c (Å): 4.8477 3.3645 12.1968
angles (deg): 90.00 78.54 90.00
With the nearest neighbours (Å) after each atom.
Element x y z (fractional)
Ca1 0.5712 0.5000 0.8575  1 Tm 3.24, 3 Ca 3.36-3.41, 8 In 3.41-3.54
Ca2 0.4288 0.5000 0.1425  1 Tm 3.24, 3 Ca 3.36-3.41, 8 In 3.41-3.54
Tm1 0.7068 0.5000 0.5864  4 Tm 3.18-3.36, 4 In 3.22, 1 Ca 3.24
Tm2 0.2932 0.5000 0.4136  4 Tm 3.18-3.36, 4 In 3.22, 1 Ca 3.24
In1 0.8466 0.0000 0.3067  4 Tm 3.22, 2 In 3.36, 4 Ca 3.54
In2 0.1533 0.0000 0.6933  4 Tm 3.22, 2 In 3.36, 4 Ca 3.54
In3 0.0000 0.0000 0.0000  4 In 3.36-3.67, 8 Ca 3.41

Computed properties:
Total moment   0.000 μB per atom
Space group   Cmmm, No. 65
DOS at the Fermi energy   0.928 states/eV/atom
Energy relative to the elements   -1.8 eV per formula unit



[9]
Material: Mg2ScTiNi
Method: DFT, PBE
State: relaxed

a b c (Å): 5.2311 4.4508 5.2311
angles (deg): 90.00 90.00 90.00
With the nearest neighbours (Å) after each atom.
Element x y z (fractional)
Ni1 0.5000 0.5000 0.5000  8 Mg 3.43, 4 Ti 3.70
Sc1 0.0000 0.0000 0.0000  2 Ti 2.23
Mg1 0.5000 0.0000 0.0000  2 Sc 2.62
Mg2 0.0000 0.0000 0.5000  2 Sc 2.62
Ti1 0.0000 0.5000 0.0000  2 Sc 2.23

Computed properties:
Total moment   0.163 μB per atom
ΔE to the lowest computed polymorph   386 meV/atom
Space group   P4/mmm, No. 123
DOS at the Fermi energy   1.366 states/eV/atom
Energy relative to the elements   7.1 eV per formula unit



[10]
Material: Rb2Dy3Se6
Method: DFT, PBE
State: relaxed

a b c (Å): 7.1803 7.1809 8.6007
angles (deg): 82.00 73.84 60.00
With the nearest neighbours (Å) after each atom.
Element x y z (fractional)
Se1 0.3978 0.6670 0.8067  3 Dy 2.88
Se2 0.9353 0.6670 0.1933  3 Dy 2.88
Se3 0.2692 0.0000 0.1933  3 Dy 2.88
Se4 0.6022 0.3330 0.1933  3 Dy 2.88
Se5 0.0647 0.3330 0.8067  3 Dy 2.88
Se6 0.7308 0.0000 0.8067  3 Dy 2.88
Dy1 0.0000 0.0000 0.0000  6 Se 2.88
Dy2 0.3334 0.3331 0.0000  6 Se 2.88
Dy3 0.6666 0.6669 0.0000  6 Se 2.88
Rb1 0.1667 0.6666 0.5000  6 Se 3.49
Rb2 0.8333 0.3334 0.5000  6 Se 3.49

Computed properties:
Total moment   0.000 μB per atom
Space group   C2/m, No. 12
DOS at the Fermi energy   0.743 states/eV/atom
Uncorrected formation energy   -1.644 eV per atom



[11]
Material: ScCr2Bi
Method: DFT, PBE
State: relaxed

a b c (Å): 7.8047 7.8047 6.2680
angles (deg): 51.50 51.50 90.00
With the nearest neighbours (Å) after each atom.
Element x y z (fractional)
Cr1 0.8750 0.8763 0.7500  2 Bi 2.85, 2 Sc 2.86, 2 Cr 2.97
Cr2 0.6263 0.1250 0.2500  2 Bi 2.85, 2 Sc 2.86, 2 Cr 2.97
Cr3 0.3750 0.3737 0.7500  2 Bi 2.85, 2 Sc 2.86, 2 Cr 2.97
Cr4 0.1237 0.6250 0.2500  2 Bi 2.85, 2 Sc 2.86, 2 Cr 2.97
Bi1 0.0000 0.0000 0.0000  4 Cr 2.85, 2 Sc 2.97
Bi2 0.7500 0.2500 0.5000  4 Cr 2.85, 2 Sc 2.97
Sc1 0.5000 0.5000 0.0000  4 Cr 2.86, 2 Bi 2.97
Sc2 0.2500 0.7500 0.5000  4 Cr 2.86, 2 Bi 2.97

Computed properties:
Total moment   2.005 μB per atom
Space group   I-42d, No. 122
DOS at the Fermi energy   0.800 states/eV/atom
Energy relative to the elements   2.8 eV per formula unit



[12]
Material: AcEu2Ga
Method: DFT, PBE
State: relaxed

a b c (Å): 3.7857 3.7857 12.2261
angles (deg): 81.09 81.09 60.00
With the nearest neighbours (Å) after each atom.
Element x y z (fractional)
Eu1 0.1033 0.1033 0.6901  3 Ga 3.16
Eu2 0.8967 0.8967 0.3099  3 Ga 3.16
Ac1 0.0000 0.0000 0.0000  2 Eu 3.73, 6 Ac 3.79
Ga1 0.5000 0.5000 0.5000  6 Eu 3.16

Computed properties:
Total moment   3.704 μB per atom
ΔE to the lowest computed polymorph   201 meV/atom
Space group   R-3m, No. 166
DOS at the Fermi energy   3.710 states/eV/atom
Energy relative to the elements   0.0 eV per formula unit